Entry 1:
A relaxed structure of La5PmHg3. Source: Alexandria via LeMat-Bulk, functional PBE-GGA.

- Volume: 31.31 A^3/atom
- Calculated formation energy: -0.295 eV per atom
- Calculated density: 8.493 g cm⁻³
- Uncorrected energy: -65.9 eV for the cell shown

a = 9.5324 Å, b = 9.5324 Å, c = 7.1619 Å
α = 90.00°, β = 90.00°, γ = 120.00°
Space group P6_3/mcm (No. 193)
One atom of each set of equivalent atoms:
La1 0.0000 0.3365 0.2500
La2 0.3333 0.6667 0.0000
Pm1 0.0000 0.0000 0.0000
Hg1 0.0000 0.3269 0.7500

=====

Entry 2:
A relaxed structure of Nd4NiSe2Cl. Source: Alexandria via LeMat-Bulk, functional PBE-GGA.

- Uncorrected formation energy: -10.8 eV per formula unit
- Volume: 25.82 A^3/atom
- Calculated density: 6.666 g cm⁻³
- Uncorrected energy: -44.5 eV for the cell shown

a = 7.318 Å, b = 4.043 Å, c = 7.360 Å
α = 90.00°, β = 108.51°, γ = 90.00°
Space group P2/m (No. 10)
One atom of each set of equivalent atoms:
Nd1 0.227 0.000 0.229
Nd2 0.240 0.500 0.750
Ni1 0.000 0.500 0.000
Se1 0.000 0.000 0.500
Se2 0.500 0.500 0.500
Cl1 0.500 0.000 0.000